1.
Computed, not measured: crystalline Li3Ac3In8 at its relaxed geometry at the PBE-GGA level of DFT.

The structure belongs to space group Immm (No. 71); the cell edges are 4.951, 10.652 and 14.411 Å and the angles 90.00°, 90.00° and 90.00°. Symmetry generates all atoms from Li at (0.000, 0.000, 0.000), Li at (0.000, 0.309, 0.500), Ac at (0.000, 0.500, 0.000), Ac at (0.000, 0.500, 0.297), In at (0.000, 0.139, 0.346) and In at (0.000, 0.210, 0.133).

The calculation puts the formation energy from the elements at -5.7 eV per formula unit.

2.
Computed, not measured: crystalline Nd3Y5Se12 at its relaxed geometry at the PBE-GGA level of DFT.

The structure belongs to space group Ia-3d (No. 230); the cell edges are 17.016, 17.016 and 17.016 Å and the angles 90.00°, 90.00° and 90.00°. Symmetry generates all atoms from Nd at (0.000, 0.250, 0.125), Y at (0.000, 0.000, 0.000), Y at (0.000, 0.250, 0.375) and Se at (0.022, 0.069, 0.652).

As for the formation energy without anion corrections: -34.4 eV per formula unit.

3.
Computed, not measured: crystalline GdAsPt at its relaxed geometry at the PBE-GGA level of DFT.

The structure belongs to space group I4mm (No. 107); the cell edges are 3.396, 3.396 and 13.704 Å and the angles 90.00°, 90.00° and 90.00°. Symmetry generates all atoms from Gd at (0.000, 0.000, 0.000), As at (0.000, 0.000, 0.789) and Pt at (0.000, 0.000, 0.611).

The calculation puts the formation energy from the elements at -1.1 eV per formula unit.

4.
Computed, not measured: crystalline SrRu2Au at its relaxed geometry at the PBE-GGA level of DFT.

The structure belongs to space group I4/mmm (No. 139); the cell edges are 4.142, 4.142 and 9.249 Å and the angles 90.00°, 90.00° and 90.00°. Symmetry generates all atoms from Sr at (0.000, 0.000, 0.000), Ru at (0.000, 0.500, 0.250) and Au at (0.000, 0.000, 0.500).

The calculation puts the formation energy from the elements at 2.7 eV per formula unit.

5.
Computed, not measured: crystalline NiSnB at its relaxed geometry at the PBE-GGA level of DFT.

The structure belongs to space group Cmcm (No. 63); the cell edges are 2.927, 20.175 and 3.012 Å and the angles 90.00°, 90.00° and 90.00°. Symmetry generates all atoms from Ni at (0.000, 0.053, 0.250), Sn at (0.000, 0.166, 0.750) and B at (0.000, 0.477, 0.250).

The calculation puts the formation energy from the elements at 0.1 eV per formula unit.

6.
Computed, not measured: crystalline Pm2GaNi at its relaxed geometry at the PBE-GGA level of DFT.

The structure belongs to space group Immm (No. 71); the cell edges are 4.421, 4.570 and 9.679 Å and the angles 90.00°, 90.00° and 90.00°. Symmetry generates all atoms from Pm at (0.000, 0.000, 0.172), Ga at (0.000, 0.000, 0.500) and Ni at (0.000, 0.500, 0.500).

The calculation puts the formation energy from the elements at -1.1 eV per formula unit.

7.
Computed, not measured: crystalline TlBiN2 at its relaxed geometry at the PBE-GGA level of DFT.

The structure belongs to space group R-3m (No. 166, hexagonal axes); the cell edges are 3.4468, 3.4468 and 22.0930 Å and the angles 90.00°, 90.00° and 120.00°. Symmetry generates all atoms from Tl at (0.0000, 0.0000, 0.0000), Bi at (0.0000, 0.0000, 0.5000) and N at (0.0000, 0.0000, 0.1136).

As for the formation energy without anion corrections: 4.1 eV per formula unit.

8.
Computed, not measured: crystalline LiLaMg2Os at its relaxed geometry at the PBE-GGA level of DFT.

The structure belongs to space group P4/mmm (No. 123); the cell edges are 5.011, 5.011 and 4.847 Å and the angles 90.00°, 90.00° and 90.00°. Symmetry generates all atoms from Li at (0.000, 0.000, 0.000), La at (0.500, 0.500, 0.000), Mg at (0.000, 0.500, 0.500) and Os at (0.000, 0.000, 0.500).

The calculation puts the formation energy from the elements at 1.9 eV per formula unit.

| no. | calculated volume (A^3/atom) | size of the total moment (μB/cell) | E_tot (eV/f.u.) |
| --- | --- | --- | --- |
| 1 | 27.14 | 0.0 | -45.64 |
| 2 | 30.80 | 0.0 | -122.80 |
| 3 | 26.34 | 14.0 | -25.83 |
| 4 | 19.84 | 7.1 | -20.85 |
| 5 | 14.82 | 0.0 | -16.39 |
| 6 | 24.45 | 0.0 | -19.44 |
| 7 | 18.94 | 0.0 | -18.82 |
| 8 | 24.35 | 0.0 | -19.38 |